The following is a GGA-PBE calculation of a relaxed Cs2CaGeMo crystal, from Alexandria.

Density of states at the Fermi level ... 0.72 states/eV/atom
ΔE_f ... 1325 meV per atom
Total energy ... -2.5066 eV per atom

Geometry as POSCAR:
```
Cs2CaGeMo
1.0
7.568 0.000 0.000
0.000 7.568 0.000
0.000 0.000 5.395
Cs Ca Ge Mo
2 1 1 1
Direct
0.000 0.500 0.000 Cs
0.500 0.000 0.000 Cs
0.000 0.000 0.000 Ca
0.000 0.000 0.500 Ge
0.500 0.500 0.500 Mo
```